Entry 1:
# Ag2HBr PBE-GGA relaxed
# Total moment in μB/cell: 0.00
# Total DFT energy (no corrections) in eV/atom: -2.59
# Energy relative to the lowest polymorph listed for this composition in meV per atom: 139
data_Ag2HBr
_cell_length_a 3.5871
_cell_length_b 3.5871
_cell_length_c 18.3860
_cell_angle_alpha 90.00
_cell_angle_beta 90.00
_cell_angle_gamma 120.00
_space_group_name_H-M_alt 'R -3 m'
_space_group_IT_number 166
_space_group_name_Hall '-R 3 2"'
loop_
_atom_site_label
_atom_site_type_symbol
_atom_site_fract_x
_atom_site_fract_y
_atom_site_fract_z
Ag1 Ag 0.0000 0.0000 0.2200
H1 H 0.0000 0.0000 0.5000
Br1 Br 0.0000 0.0000 0.0000

=====

Entry 2:
# Sm3SiS6Cl PBE-GGA relaxed
# Uncorrected formation energy in kcal/mol of atoms: -39.42
# Total moment in μB/cell: 0.00
# Total DFT energy (no corrections) in eV/atom: -5.91
# Energy relative to the lowest polymorph listed for this composition in meV per atom: 28
data_Sm3SiS6Cl
_cell_length_a 9.917
_cell_length_b 5.721
_cell_length_c 10.006
_cell_angle_alpha 90.00
_cell_angle_beta 118.32
_cell_angle_gamma 90.00
_space_group_name_H-M_alt 'P 1 21 1'
_space_group_IT_number 4
_space_group_name_Hall 'P 2yb'
loop_
_atom_site_label
_atom_site_type_symbol
_atom_site_fract_x
_atom_site_fract_y
_atom_site_fract_z
Sm1 Sm 0.137 0.000 0.363
Sm2 Sm 0.226 0.999 0.876
Sm3 Sm 0.353 0.502 0.235
Si1 Si 0.338 0.585 0.671
S1 S 0.092 0.478 0.263
S2 S 0.115 0.731 0.597
S3 S 0.257 0.975 0.165
S4 S 0.334 0.217 0.670
S5 S 0.419 0.736 0.524
S6 S 0.475 0.734 0.893
Cl1 Cl 0.156 0.473 0.913

=====

Entry 3:
# Hg2BC PBE-GGA relaxed
# DFT formation energy in eV/atom: 2.154
# Total moment in μB/cell: 0.00
# Total DFT energy (no corrections) in eV/atom: -1.97
# Energy relative to the lowest polymorph listed for this composition in meV per atom: 300
data_Hg2BC
_cell_length_a 6.254
_cell_length_b 6.254
_cell_length_c 6.254
_cell_angle_alpha 90.00
_cell_angle_beta 90.00
_cell_angle_gamma 90.00
_space_group_name_H-M_alt 'F m -3 m'
_space_group_IT_number 225
_space_group_name_Hall '-F 4 2 3'
loop_
_atom_site_label
_atom_site_type_symbol
_atom_site_fract_x
_atom_site_fract_y
_atom_site_fract_z
Hg1 Hg 0.250 0.250 0.250
B1 B 0.000 0.000 0.000
C1 C 0.000 0.000 0.500

=====

Entry 4:
# KGaO PBE-GGA relaxed
# Uncorrected formation energy in kcal/mol of atoms: -23.99
# Total moment in μB/cell: 0.00
# Total DFT energy (no corrections) in eV/atom: -4.07
data_KGaO
_cell_length_a 4.144
_cell_length_b 7.786
_cell_length_c 11.274
_cell_angle_alpha 90.00
_cell_angle_beta 90.00
_cell_angle_gamma 90.00
_space_group_name_H-M_alt 'I m m m'
_space_group_IT_number 71
_space_group_name_Hall '-I 2 2'
loop_
_atom_site_label
_atom_site_type_symbol
_atom_site_fract_x
_atom_site_fract_y
_atom_site_fract_z
K1 K 0.000 0.000 0.161
Ga1 Ga 0.000 0.176 0.500
O1 O 0.000 0.000 0.381

=====

Entry 5:
# Ce5Bi5Rh PBE-GGA relaxed
# DFT formation energy in eV/atom: -0.504
# Total moment in μB/cell: 4.74
# Total DFT energy (no corrections) in eV/atom: -5.63
data_Ce5Bi5Rh
_cell_length_a 14.163
_cell_length_b 6.332
_cell_length_c 8.805
_cell_angle_alpha 90.00
_cell_angle_beta 109.88
_cell_angle_gamma 90.00
_space_group_name_H-M_alt 'C 1 2/m 1'
_space_group_IT_number 12
_space_group_name_Hall '-C 2y'
loop_
_atom_site_label
_atom_site_type_symbol
_atom_site_fract_x
_atom_site_fract_y
_atom_site_fract_z
Ce1 Ce 0.000 0.000 0.000
Ce2 Ce 0.151 0.500 0.853
Ce3 Ce 0.152 0.500 0.305
Bi1 Bi 0.000 0.500 0.500
Bi2 Bi 0.155 0.000 0.807
Bi3 Bi 0.184 0.000 0.336
Rh1 Rh 0.000 0.500 0.000

=====

Entry 6:
# HgOsN2O PBE-GGA relaxed
# Uncorrected formation energy in kcal/mol of atoms: 14.50
# Total moment in μB/cell: 0.00
# Total DFT energy (no corrections) in eV/atom: -6.00
data_HgOsN2O
_cell_length_a 3.860
_cell_length_b 3.860
_cell_length_c 4.160
_cell_angle_alpha 90.00
_cell_angle_beta 90.00
_cell_angle_gamma 90.00
_space_group_name_H-M_alt 'P 4/m m m'
_space_group_IT_number 123
_space_group_name_Hall '-P 4 2'
loop_
_atom_site_label
_atom_site_type_symbol
_atom_site_fract_x
_atom_site_fract_y
_atom_site_fract_z
Hg1 Hg 0.000 0.000 0.000
Os1 Os 0.500 0.500 0.500
N1 N 0.000 0.500 0.500
O1 O 0.500 0.500 0.000

=====

Which value of total moment does entry 5 give? 4.74 μB/cell

=====

Among the records above, which one has the highest total moment? Ce5Bi5Rh

=====

The lowest total DFT energy (no corrections) belongs to which entry? HgOsN2O